No. 1
## TaRe2Te (PBE)

Data for crystalline TaRe2Te at its relaxed geometry.

Cell: 3.9518 3.9518 10.3394 Å, 78.98 78.98 90.00°
Closest atoms and distances in Å follow each position.
Fractional positions:
Te 0.5000 0.5000 0.0000  4 Ta 2.79, 4 Re 2.94
Te 0.2500 0.7500 0.5000  4 Ta 2.79, 4 Re 2.94
Re 0.8750 0.9340 0.7500  2 Re 2.49, 2 Ta 2.78
Re 0.6840 0.1250 0.2500  2 Re 2.49, 2 Ta 2.78
Re 0.3750 0.3160 0.7500  2 Re 2.49, 2 Ta 2.78
Re 0.0660 0.6250 0.2500  2 Re 2.49, 2 Ta 2.78
Ta 0.7500 0.2500 0.5000  4 Re 2.78, 4 Te 2.79
Ta 0.0000 0.0000 0.0000  4 Re 2.78, 4 Te 2.79

- Final energy: -72.388 eV per cell
- Mass density: 14.55 g cm⁻³
- SG: I-42d
- E_form (uncorrected): 924 meV per atom

***

No. 2
## TaReTe2 (PBE)

Data for crystalline TaReTe2 at its relaxed geometry.

Cell: 4.7972 4.7972 7.0800 Å, 81.88 81.88 42.36°
Closest atoms and distances in Å follow each position.
Fractional positions:
Re 0.5190 0.5190 0.4186  3 Ta 2.61-2.72, 3 Te 2.79-2.87
Ta 0.2353 0.2353 0.3241  3 Re 2.61-2.72, 3 Te 2.86-2.87
Te 0.9806 0.9806 0.1206  2 Re 2.79, 3 Ta 2.87-2.99
Te 0.7651 0.7651 0.6367  2 Ta 2.86, 3 Re 2.87-3.08

- Final energy: -29.755 eV per cell
- Mass density: 9.52 g cm⁻³
- SG: Cm
- E_form (uncorrected): 207 meV per atom
- Distance to the lowest polymorph of the same formula: 195 meV per atom

***

No. 3
## Ta2ReTe (PBE)

Data for crystalline Ta2ReTe at its relaxed geometry.

Cell: 3.1799 3.1925 8.0615 Å, 66.37 90.00 90.00°
Closest atoms and distances in Å follow each position.
Fractional positions:
Re 0.5000 0.7500 0.7500  8 Ta 2.76
Te 0.5000 0.2500 0.2500  8 Ta 3.07-3.09, 4 Te 3.18-3.19
Ta 0.0000 0.4683 0.5338  4 Re 2.76, 4 Te 3.07-3.09
Ta 0.0000 0.0317 0.9662  4 Re 2.76, 4 Te 3.07-3.09

- Final energy: -38.801 eV per cell
- Mass density: 14.97 g cm⁻³
- SG: P2/m
- E_form (uncorrected): 124 meV per atom

***

No. 4
## Ta2ReTe (PBE)

Data for crystalline Ta2ReTe at its relaxed geometry.

Cell: 4.0513 4.0513 10.0297 Å, 78.35 78.35 90.00°
Closest atoms and distances in Å follow each position.
Fractional positions:
Re 0.0000 0.0000 0.0000  4 Ta 2.80, 4 Te 2.86
Re 0.7500 0.2500 0.5000  4 Ta 2.80, 4 Te 2.86
Te 0.5000 0.5000 0.0000  4 Ta 2.80, 4 Re 2.86
Te 0.2500 0.7500 0.5000  4 Ta 2.80, 4 Re 2.86
Ta 0.1264 0.6250 0.2500  2 Te 2.80, 2 Re 2.80, 4 Ta 2.86-2.87
Ta 0.6236 0.1250 0.2500  2 Te 2.80, 2 Re 2.80, 4 Ta 2.86-2.87
Ta 0.3750 0.3764 0.7500  2 Te 2.80, 2 Re 2.80, 4 Ta 2.86-2.87
Ta 0.8750 0.8736 0.7500  2 Te 2.80, 2 Re 2.80, 4 Ta 2.86-2.87

- Final energy: -72.210 eV per cell
- Mass density: 14.22 g cm⁻³
- SG: I-42d
- E_form (uncorrected): 798 meV per atom

***

No. 5
## Ta2ReTe (PBE)

Data for crystalline Ta2ReTe at its relaxed geometry.

Cell: 5.1730 5.1730 5.1730 Å, 133.65 133.65 67.63°
Closest atoms and distances in Å follow each position.
Fractional positions:
Te 0.2500 0.7500 0.5000  4 Re 2.88, 8 Ta 2.96
Ta 0.5000 0.5000 0.0000  4 Ta 2.88, 4 Re 2.96, 4 Te 2.96
Ta 0.0000 0.0000 0.0000  4 Ta 2.88, 4 Te 2.96, 4 Re 2.96
Re 0.7500 0.2500 0.5000  4 Te 2.88, 8 Ta 2.96

- Final energy: -37.814 eV per cell
- Mass density: 15.75 g cm⁻³
- SG: I4/mmm
- E_form (uncorrected): 370 meV per atom

***

No. 6
## TaReTe2 (PBE)

Data for crystalline TaReTe2 at its relaxed geometry.

Cell: 3.1809 3.1809 8.9624 Å, 90.00 90.00 90.00°
Closest atoms and distances in Å follow each position.
Fractional positions:
Te 0.0000 0.0000 0.9336  4 Ta 2.99, 4 Te 3.18
Te 0.5000 0.5000 0.3365  4 Re 2.76
Ta 0.5000 0.5000 0.7144  4 Re 2.87, 4 Te 2.99, 4 Ta 3.18
Re 0.0000 0.0000 0.5156  4 Te 2.76, 4 Ta 2.87

- Final energy: -30.105 eV per cell
- Mass density: 11.40 g cm⁻³
- SG: P4mm
- E_form (uncorrected): 120 meV per atom
- Distance to the lowest polymorph of the same formula: 107 meV per atom

***

No. 7
## Ta2ReTe (PBE)

Data for crystalline Ta2ReTe at its relaxed geometry.

Cell: 9.0269 9.0269 9.0269 Å, 20.14 20.14 20.14°
Closest atoms and distances in Å follow each position.
Fractional positions:
Re 0.7439 0.7439 0.7439  3 Ta 2.65
Ta 0.0046 0.0046 0.0046  3 Re 2.65, 3 Ta 2.91
Ta 0.2524 0.2524 0.2524  9 Ta 2.91-3.16, 3 Te 2.93
Te 0.4991 0.4991 0.4991  3 Ta 2.93, 3 Re 2.97, 6 Te 3.16

- Final energy: -37.825 eV per cell
- Mass density: 14.71 g cm⁻³
- SG: R3m
- E_form (uncorrected): 367 meV per atom

***

No. 8
## TaReTe2 (PBE)

Data for crystalline TaReTe2 at its relaxed geometry.

Cell: 6.9933 6.9933 6.9933 Å, 151.99 143.87 46.33°
Closest atoms and distances in Å follow each position.
Fractional positions:
Te 0.9815 0.9815 0.0000  4 Re 2.75, 2 Ta 2.92
Te 0.7105 0.2105 0.5000  4 Ta 3.14, 2 Te 3.39, 2 Re 3.42
Re 0.4791 0.4791 0.0000  2 Ta 2.57, 4 Te 2.75
Ta 0.3289 0.8289 0.5000  2 Re 2.57

- Final energy: -29.001 eV per cell
- Mass density: 10.95 g cm⁻³
- SG: Imm2
- E_form (uncorrected): 396 meV per atom
- Distance to the lowest polymorph of the same formula: 383 meV per atom

***

No. 9
## TaReTe2 (PBE)

Data for crystalline TaReTe2 at its relaxed geometry.

Cell: 4.5773 4.3622 4.3625 Å, 81.05 90.00 90.00°
Closest atoms and distances in Å follow each position.
Fractional positions:
Te 0.0000 0.0106 0.0106  2 Re 2.79, 2 Te 2.84, 2 Ta 2.87
Te 0.0000 0.4894 0.4894  2 Re 2.79, 2 Te 2.84, 2 Ta 2.87
Re 0.5000 0.2500 0.2500  4 Te 2.79, 2 Ta 2.83
Ta 0.5000 0.7500 0.7500  2 Re 2.83, 4 Te 2.87

- Final energy: -27.065 eV per cell
- Mass density: 12.01 g cm⁻³
- SG: Cmmm
- E_form (uncorrected): 880 meV per atom
- Distance to the lowest polymorph of the same formula: 867 meV per atom

***

No. 10
## TaRe2Te (PBE)

Data for crystalline TaRe2Te at its relaxed geometry.

Cell: 2.8846 2.8846 9.4351 Å, 90.00 90.00 112.11°
Closest atoms and distances in Å follow each position.
Fractional positions:
Re 0.0000 0.0000 0.0257  2 Ta 2.66, 4 Re 2.88
Re 0.0000 0.0000 0.4743  2 Ta 2.66, 4 Re 2.88
Ta 0.5000 0.5000 0.2500  4 Re 2.66, 4 Ta 2.88
Te 0.5000 0.5000 0.7500  6 Te 2.88-3.22, 4 Re 3.06

- Final energy: -37.632 eV per cell
- Mass density: 15.55 g cm⁻³
- SG: Cmmm
- E_form (uncorrected): 565 meV per atom

***

No. 11
## Ta2ReTe (PBE)

Data for crystalline Ta2ReTe at its relaxed geometry.

Cell: 4.7099 4.7099 3.2685 Å, 90.00 90.00 90.00°
Closest atoms and distances in Å follow each position.
Fractional positions:
Ta 0.0000 0.0000 0.0000  4 Te 2.87, 4 Re 2.87
Ta 0.5000 0.5000 0.0000  4 Re 2.87, 4 Te 2.87
Re 0.0000 0.5000 0.5000  8 Ta 2.87
Te 0.5000 0.0000 0.5000  8 Ta 2.87

- Final energy: -37.882 eV per cell
- Mass density: 15.48 g cm⁻³
- SG: P4/mmm
- E_form (uncorrected): 353 meV per atom

***

No. 12
## TaReTe2 (PBE)

Data for crystalline TaReTe2 at its relaxed geometry.

Cell: 3.3225 5.4257 4.5247 Å, 90.00 90.00 90.00°
Closest atoms and distances in Å follow each position.
Fractional positions:
Re 0.5000 0.0000 0.5000  4 Te 2.81
Ta 0.0000 0.5000 0.5000  4 Te 2.81
Te 0.0000 0.0000 0.0000  4 Re 2.81
Te 0.5000 0.5000 0.0000  4 Ta 2.81

- Final energy: -26.756 eV per cell
- Mass density: 12.67 g cm⁻³
- SG: Pmmm
- E_form (uncorrected): 957 meV per atom
- Distance to the lowest polymorph of the same formula: 945 meV per atom

***

No. 13
## TaRe2Te (PBE)

Data for crystalline TaRe2Te at its relaxed geometry.

Cell: 3.1420 5.1862 5.5194 Å, 50.58 90.00 90.00°
Closest atoms and distances in Å follow each position.
Fractional positions:
Te 0.0000 0.0000 0.5000  6 Re 2.76-2.78, 4 Ta 3.03
Re 0.0000 0.0000 0.0000  2 Te 2.76, 4 Ta 2.78, 4 Re 3.03
Re 0.5000 0.5000 0.0000  2 Ta 2.76, 4 Te 2.78, 4 Re 3.03
Ta 0.5000 0.5000 0.5000  6 Re 2.76-2.78, 4 Te 3.03

- Final energy: -37.783 eV per cell
- Mass density: 16.28 g cm⁻³
- SG: P2/m
- E_form (uncorrected): 527 meV per atom

***

No. 14
## Ta2ReTe (PBE)

Data for crystalline Ta2ReTe at its relaxed geometry.

Cell: 3.3420 3.3420 6.6441 Å, 90.00 90.00 90.00°
Closest atoms and distances in Å follow each position.
Fractional positions:
Ta 0.5000 0.5000 0.2519  4 Te 2.83, 4 Ta 2.97, 1 Re 3.14
Ta 0.0000 0.0000 0.9811  4 Re 2.72, 4 Ta 2.97
Te 0.0000 0.0000 0.4875  4 Ta 2.83, 4 Re 3.06
Re 0.5000 0.5000 0.7796  4 Ta 2.72

- Final energy: -38.385 eV per cell
- Mass density: 15.12 g cm⁻³
- SG: P4mm
- E_form (uncorrected): 227 meV per atom

***

No. 15
## TaRe2Te (PBE)

Data for crystalline TaRe2Te at its relaxed geometry.

Cell: 3.0465 4.1769 5.4689 Å, 90.00 90.00 90.00°
Closest atoms and distances in Å follow each position.
Fractional positions:
Re 0.0000 0.0000 0.0257  1 Ta 2.55, 4 Re 2.82
Re 0.5000 0.5000 0.2324  2 Te 2.64-2.83, 4 Re 2.82, 4 Ta 2.95
Ta 0.0000 0.0000 0.4915  1 Re 2.55
Te 0.5000 0.5000 0.7505  2 Re 2.64-2.83, 4 Ta 2.95

- Final energy: -37.990 eV per cell
- Mass density: 16.25 g cm⁻³
- SG: Pmm2
- E_form (uncorrected): 475 meV per atom